Density functional theory data (GGA-PBE) for a relaxed structure of BaCe2EuO6.

**Energy relative to the lowest polymorph listed for this composition**: 0 meV per atom
**D(E_F)**: 16.81 states/eV/f.u.
**Space-group type**: Pmc2_1 (26)
**Energy relative to the elements, uncorrected**: -31.81 eV per formula unit

Unit cell a=6.091 b=6.241 c=8.795 alpha=90.00 beta=90.00 gamma=90.00
Fractional coordinates of all 20 atoms:
Ba: 0.241 0.533 0.000
Ba: 0.759 0.033 0.000
Ce: 0.753 0.496 0.741
Ce: 0.247 0.996 0.741
Ce: 0.753 0.496 0.259
Ce: 0.247 0.996 0.259
Eu: 0.738 0.946 0.500
Eu: 0.262 0.446 0.500
O: 0.325 0.974 0.000
O: 0.874 0.551 0.500
O: 0.126 0.051 0.500
O: 0.675 0.474 0.000
O: 0.545 0.200 0.679
O: 0.056 0.302 0.785
O: 0.944 0.802 0.215
O: 0.455 0.700 0.321
O: 0.944 0.802 0.785
O: 0.455 0.700 0.679
O: 0.545 0.200 0.321
O: 0.056 0.302 0.215


Density functional theory data (GGA-PBE) for a relaxed structure of BaCd12Rh6.

**D(E_F)**: 10.10 states/eV/f.u.
**Space-group type**: R-3m (166)
**Formation enthalpy at 0 K**: -0.8 eV per formula unit

Unit cell a=7.789 b=7.789 c=7.789 alpha=104.22 beta=104.22 gamma=104.22
Fractional coordinates of all 19 atoms:
Ba: 0.000 0.000 0.000
Cd: 0.881 0.119 0.500
Cd: 0.835 0.572 0.572
Cd: 0.572 0.572 0.835
Cd: 0.428 0.165 0.428
Cd: 0.428 0.428 0.165
Cd: 0.165 0.428 0.428
Cd: 0.119 0.500 0.881
Cd: 0.500 0.881 0.119
Cd: 0.119 0.881 0.500
Cd: 0.881 0.500 0.119
Cd: 0.500 0.119 0.881
Cd: 0.572 0.835 0.572
Rh: 0.690 0.256 0.256
Rh: 0.256 0.256 0.690
Rh: 0.256 0.690 0.256
Rh: 0.744 0.744 0.310
Rh: 0.310 0.744 0.744
Rh: 0.744 0.310 0.744


| no. | density (g/cm³) | size of the total moment (μB/f.u.) |
| --- | --- | --- |
| 1 | 6.6 | 7.1 |
| 2 | 8.3 | 0.0 |